Record 1
Entry from Alexandria via LeMat-Bulk: Na2InAu2 at its PBEsol-relaxed geometry (SCAN).

Space-group type: P4/mbm

Structure (POSCAR):
```
Na2InAu2
1.0
7.1317 0.0000 0.0000
0.0000 7.1317 0.0000
0.0000 0.0000 4.4239
Na In Au
4 2 4
direct
0.1649 0.3351 0.0000
0.3351 0.8351 0.0000
0.6649 0.1649 0.0000
0.8351 0.6649 0.0000
0.0000 0.0000 0.5000
0.5000 0.5000 0.5000
0.1362 0.6362 0.5000
0.3638 0.1362 0.5000
0.6362 0.8638 0.5000
0.8638 0.3638 0.5000
```


Record 2
Entry from Alexandria via LeMat-Bulk: LiY2Mo at its PBEsol-relaxed geometry (SCAN).

Space-group type: C2/m
Energy above the lowest structure with this stoichiometry: 65 meV per atom

Structure (POSCAR):
```
LiY2Mo
1.0
4.6111 -1.5306 0.0000
4.6111 1.5306 0.0000
-0.7488 0.0000 6.4055
Li Y Mo
1 2 1
direct
0.0000 0.0000 0.0000
0.2433 0.2433 0.7293
0.7567 0.7567 0.2707
0.5000 0.5000 0.5000
```


Number 1: D(E_F) 1.55 states/eV/f.u., uncorrected energy -36.418 eV per atom. Number 2: D(E_F) 4.75 states/eV/f.u., uncorrected energy -22.729 eV per atom.